Compound: La2PmDySb4
Source: the Alexandria database
Functional: PBE
Structure: relaxed

abc: 4.5386 7.8440 7.8540
angles: 70.49 90.00 90.00
With the nearest neighbours (Å) after each atom.
Atoms (fractional coordinates):
Pm1 0.5000 0.5000 0.0000  6 Sb 3.18
Sb1 0.5000 0.2610 0.7433  2 Dy 3.15, 1 Pm 3.18, 3 La 3.23-3.26
Sb2 0.0000 0.2588 0.2502  1 Dy 3.15, 2 Pm 3.18, 3 La 3.23-3.26
Sb3 0.0000 0.7412 0.7498  1 Dy 3.15, 2 Pm 3.18, 3 La 3.23-3.26
Sb4 0.5000 0.7390 0.2567  2 Dy 3.15, 1 Pm 3.18, 3 La 3.23-3.26
Dy1 0.0000 0.5000 0.5000  6 Sb 3.15
La1 0.5000 0.0000 0.5000  6 Sb 3.23
La2 0.0000 0.0000 0.0000  6 Sb 3.26

Values from the calculation:
calculated total energy: -5.676 eV/atom
DOS(E_F): 1.0 states/eV per cell


Compound: LaPmDy2Sb4
Source: the Alexandria database
Functional: PBE
Structure: relaxed

abc: 4.4792 7.7383 7.7525
angles: 70.50 90.00 90.00
With the nearest neighbours (Å) after each atom.
Atoms (fractional coordinates):
Sb1 0.5000 0.2408 0.7503  3 Dy 3.11-3.13, 2 Pm 3.19, 1 La 3.22
Sb2 0.0000 0.7613 0.7434  3 Dy 3.11-3.13, 1 Pm 3.19, 2 La 3.22
Sb3 0.0000 0.2387 0.2566  3 Dy 3.11-3.13, 1 Pm 3.19, 2 La 3.22
Sb4 0.5000 0.7592 0.2497  3 Dy 3.11-3.13, 2 Pm 3.19, 1 La 3.22
Dy1 0.0000 0.0000 0.0000  6 Sb 3.13
Dy2 0.5000 0.0000 0.5000  6 Sb 3.11
La1 0.5000 0.5000 0.0000  6 Sb 3.22
Pm1 0.0000 0.5000 0.5000  6 Sb 3.19

Values from the calculation:
calculated total energy: -5.599 eV/atom
DOS(E_F): 1.0 states/eV per cell